Entry from Alexandria via LeMat-Bulk: a geometry-optimized Eu2YMg structure (PBE-GGA).

Geometry as POSCAR:
```
Eu2YMg
1.0
0.0000 4.0829 4.0829
4.0829 0.0000 4.0829
4.0829 4.0829 0.0000
Eu Y Mg
2 1 1
Direct
0.2500 0.2500 0.2500
0.7500 0.7500 0.7500
0.0000 0.0000 0.0000
0.5000 0.5000 0.5000
```

SG: No. 225
Magnetization in μB/f.u.: 14.5
Uncorrected energy in eV/atom: -7.050
Offset from the most stable computed form in meV per atom: 64
Formation energy in eV per atom: 0.1018
N(E_F) in states/eV/atom: 0.9827